# Na5PbAu2

A geometry-optimized Na5PbAu2 structure (PBE, Alexandria).

Unit cell a=4.287 b=7.435 c=7.435 alpha=79.09 beta=73.24 gamma=73.24
Sites, in units of the cell vectors:
Na1 0.000 0.500 0.500
Na2 0.660 0.527 0.152
Na3 0.340 0.473 0.848
Na4 0.340 0.848 0.473
Na5 0.660 0.152 0.527
Pb1 0.000 0.000 0.000
Au1 0.708 0.792 0.792
Au2 0.292 0.208 0.208

Computed properties:
formation enthalpy at 0 K	-0.132	eV per atom